No. 1
Computed, not measured: Rb2Bi2Rh at its PBEsol-relaxed geometry at the SCAN level of DFT.

Geometry as POSCAR:
```
Rb2Bi2Rh
1.0
-0.8657 -2.4884 -3.4162
0.1302 -3.5012 2.5173
-10.0253 3.9839 2.3626
Bi Rb Rh
2 2 1
Direct
0.2500 0.7500 0.5000 Bi
0.7500 0.2500 0.5000 Bi
0.4090 0.4090 0.8180 Rb
0.5910 0.5910 0.1820 Rb
0.0000 0.0000 0.0000 Rh
```

Values from the calculation:
- Calculated formation energy: 2.3 eV/f.u.
- Crystal system: tetragonal
- V: 39.51 Å³/atom

***

No. 2
Computed, not measured: BaCdFe at its PBEsol-relaxed geometry at the SCAN level of DFT.

Geometry as POSCAR:
```
BaCdFe
1.0
-0.8371 -2.1734 -4.7369
-2.4176 -4.6779 -0.3674
-4.9001 -0.2932 -1.9406
Cd Ba Fe
1 1 1
Direct
0.0000 0.0000 0.0000 Cd
0.7500 0.7500 0.7500 Ba
0.5000 0.5000 0.5000 Fe
```

Values from the calculation:
- Calculated formation energy: 2.6 eV/f.u.
- Crystal system: cubic
- V: 34.67 Å³/atom

***

No. 3
Computed, not measured: NiTe3As at its PBEsol-relaxed geometry at the SCAN level of DFT.

Geometry as POSCAR:
```
NiTe3As
1.0
-0.9947 -0.1420 4.8279
4.1195 -2.5982 0.7723
2.5215 4.1889 0.6427
Te Ni As
3 1 1
Direct
0.5000 0.0000 0.0000 Te
0.0000 0.5000 0.0000 Te
0.0000 0.0000 0.5000 Te
0.0000 0.0000 0.0000 Ni
0.5000 0.5000 0.5000 As
```

Values from the calculation:
- Formation energy from raw total energies: 0.478 eV per atom
- Crystal system: cubic
- V: 23.98 Å³/atom

***

No. 4
Computed, not measured: H3S at its PBEsol-relaxed geometry at the SCAN level of DFT.

Geometry as POSCAR:
```
H3S
1.0
-5.1213 -3.5457 -0.1813
1.3290 -1.5659 -7.2277
4.1109 -6.0867 2.0399
H S
24 8
Direct
0.7132 0.0513 0.4178 H
0.4816 0.0638 0.1428 H
0.5623 0.4864 0.2598 H
0.0829 0.4643 0.9440 H
0.4763 0.5084 0.6217 H
0.3993 0.2088 0.5144 H
0.5535 0.6065 0.9493 H
0.9463 0.0044 0.1400 H
0.7311 0.3192 0.1138 H
0.9112 0.9005 0.5554 H
0.0066 0.5116 0.5579 H
0.2494 0.3224 0.1169 H
0.9669 0.0796 0.0741 H
0.0156 0.5883 0.6231 H
0.0638 0.6475 0.2577 H
0.4272 0.5786 0.5609 H
0.7038 0.7664 0.7834 H
0.2591 0.7767 0.0952 H
0.2219 0.0323 0.3835 H
0.3869 0.8917 0.6857 H
0.9014 0.2148 0.6616 H
0.2104 0.0549 0.8312 H
0.5502 0.0097 0.0786 H
0.7466 0.3953 0.8003 H
0.2619 0.3595 0.9406 S
0.7248 0.8757 0.4636 S
0.2059 0.8782 0.7867 S
0.7508 0.6858 0.9396 S
0.7510 0.3941 0.2750 S
0.2615 0.7250 0.2678 S
0.7129 0.2213 0.7536 S
0.2107 0.2102 0.4233 S
```

Values from the calculation:
- Crystal system: triclinic
- V: 11.15 Å³/atom

***

| no. | DFT total energy (Ry/atom) |
| --- | --- |
| 1 | -3.3829 |
| 2 | -2.0934 |
| 3 | -2.1422 |
| 4 | -0.3758 |